BaB2Rh2: optimized geometry, PBE.

a = 6.3697 Å, b = 6.3697 Å, c = 6.3697 Å
α = 143.95°, β = 143.95°, γ = 51.90°
Positions (direct):
Ba (0.0000, 0.0000, 0.0000)
B (0.6828, 0.6828, 0.0000)
B (0.3172, 0.3172, 0.0000)
Rh (0.7500, 0.2500, 0.5000)
Rh (0.2500, 0.7500, 0.5000)

Results
Spin magnetization ... 0.00 μB/f.u.
D(E_F) ... 0.89 states/eV/cell
Energy ... -6.473 eV/atom
Space-group type ... I4/mmm (139)

BaB4Rh4: optimized geometry, PBE.

a = 3.9903 Å, b = 7.7928 Å, c = 7.7928 Å
α = 90.00°, β = 90.00°, γ = 90.00°
Positions (direct):
B (0.6049, 0.8373, 0.2892)
B (0.8951, 0.3373, 0.7892)
B (0.3951, 0.7108, 0.8373)
Rh (0.6045, 0.8884, 0.6510)
Rh (0.6045, 0.1116, 0.3490)
Rh (0.3955, 0.6510, 0.1116)
Rh (0.8955, 0.6116, 0.8490)
Rh (0.8955, 0.3884, 0.1510)
B (0.6049, 0.1627, 0.7108)
Rh (0.1045, 0.1510, 0.6116)
B (0.1049, 0.7892, 0.6627)
B (0.8951, 0.6627, 0.2108)
Rh (0.3955, 0.3490, 0.8884)
Ba (0.5000, 0.5000, 0.5000)
B (0.1049, 0.2108, 0.3373)
Rh (0.1045, 0.8490, 0.3884)
B (0.3951, 0.2892, 0.1627)
Ba (0.0000, 0.0000, 0.0000)

Results
Spin magnetization ... 0.00 μB/f.u.
D(E_F) ... 10.83 states/eV/cell
Energy ... -6.838 eV/atom
Space-group type ... P4_2/n (86)

Ba2BRh: optimized geometry, PBE.

a = 8.0789 Å, b = 8.0789 Å, c = 6.7606 Å
α = 53.31°, β = 53.31°, γ = 90.00°
Each line ends with the local moment (μB).
Positions (direct):
Ba (0.6278, 0.1250, 0.2500)  0.11
B (0.5000, 0.5000, 0.0000)  0.46
Ba (0.3750, 0.3722, 0.7500)  0.10
Ba (0.1222, 0.6250, 0.2500)  0.11
B (0.2500, 0.7500, 0.5000)  0.46
Rh (0.7500, 0.2500, 0.5000)  0.13
Rh (0.0000, 0.0000, 0.0000)  0.13
Ba (0.8750, 0.8778, 0.7500)  0.11

Results
Spin magnetization ... 1.73 μB/f.u.
D(E_F) ... 9.74 states/eV/cell
Energy ... -3.620 eV/atom
Space-group type ... I-42d (122)

BaBRh2: optimized geometry, PBE.

a = 6.9915 Å, b = 6.9915 Å, c = 5.9292 Å
α = 53.87°, β = 53.87°, γ = 90.00°
Positions (direct):
Rh (0.8750, 0.7216, 0.7500)
Rh (0.2784, 0.6250, 0.2500)
B (0.2500, 0.7500, 0.5000)
Ba (0.7500, 0.2500, 0.5000)
B (0.5000, 0.5000, 0.0000)
Ba (0.0000, 0.0000, 0.0000)
Rh (0.3750, 0.5284, 0.7500)
Rh (0.4716, 0.1250, 0.2500)

Results
Spin magnetization ... 0.00 μB/f.u.
D(E_F) ... 1.57 states/eV/cell
Energy ... -5.953 eV/atom
Space-group type ... I-42d (122)

BaBRh3: optimized geometry, PBE.

a = 5.0954 Å, b = 5.0954 Å, c = 5.0954 Å
α = 90.00°, β = 90.00°, γ = 90.00°
Each line ends with the local moment (μB).
Positions (direct):
Ba (0.0000, 0.0000, 0.0000)  -0.04
Rh (0.0000, 0.0000, 0.5000)  0.35
Rh (0.5000, 0.0000, 0.0000)  0.36
B (0.5000, 0.5000, 0.5000)  -0.03
Rh (0.0000, 0.5000, 0.0000)  0.49

Results
Spin magnetization ... 1.09 μB/f.u.
D(E_F) ... 5.01 states/eV/cell
ΔE to the lowest computed polymorph ... 2781.4 meV/atom
Energy ... -3.476 eV/atom
Space-group type ... Pm-3m (221)

BaBRh3: optimized geometry, PBE.

a = 6.2986 Å, b = 6.2986 Å, c = 10.1231 Å
α = 90.00°, β = 90.00°, γ = 120.00°
Positions (direct):
B (0.3333, 0.6667, 0.6161)
Rh (0.8153, 0.1847, 0.2500)
Ba (0.0000, 0.0000, 0.0000)
B (0.3333, 0.6667, 0.8839)
Rh (0.8153, 0.6305, 0.2500)
Rh (0.5000, 0.5000, 0.5000)
Rh (0.5000, 0.5000, 0.0000)
Rh (0.0000, 0.5000, 0.5000)
Rh (0.5000, 0.0000, 0.5000)
B (0.6667, 0.3333, 0.3839)
Ba (0.0000, 0.0000, 0.5000)
Ba (0.6667, 0.3333, 0.7500)
Rh (0.3695, 0.1847, 0.2500)
Ba (0.3333, 0.6667, 0.2500)
Rh (0.1847, 0.8153, 0.7500)
Rh (0.0000, 0.5000, 0.0000)
B (0.6667, 0.3333, 0.1161)
Rh (0.5000, 0.0000, 0.0000)
Rh (0.1847, 0.3695, 0.7500)
Rh (0.6305, 0.8153, 0.7500)

Results
Spin magnetization ... 0.00 μB/f.u.
D(E_F) ... 20.80 states/eV/cell
ΔE to the lowest computed polymorph ... 0.0 meV/atom
Energy ... -6.257 eV/atom
Space-group type ... P6_3/mmc (194)

BaBRh3: optimized geometry, PBE.

a = 4.3706 Å, b = 4.3706 Å, c = 4.3706 Å
α = 90.00°, β = 90.00°, γ = 90.00°
Positions (direct):
Rh (0.5000, 0.0000, 0.0000)
Ba (0.5000, 0.5000, 0.5000)
Rh (0.0000, 0.0000, 0.5000)
B (0.0000, 0.0000, 0.0000)
Rh (0.0000, 0.5000, 0.0000)

Results
Spin magnetization ... 0.00 μB/f.u.
D(E_F) ... 6.28 states/eV/cell
ΔE to the lowest computed polymorph ... 6.3 meV/atom
Energy ... -6.251 eV/atom
Space-group type ... Pm-3m (221)

BaBRh2: optimized geometry, PBE.

a = 4.1131 Å, b = 4.1131 Å, c = 6.1607 Å
α = 70.50°, β = 70.50°, γ = 60.00°
Positions (direct):
Ba (0.0000, 0.0000, 0.0000)
Rh (0.1861, 0.1861, 0.4418)
B (0.5000, 0.5000, 0.5000)
Rh (0.8139, 0.8139, 0.5582)

Results
Spin magnetization ... 0.00 μB/f.u.
D(E_F) ... 3.86 states/eV/cell
Energy ... -5.797 eV/atom
Space-group type ... R-3m (166)

BaB2Rh2: optimized geometry, PBE.

a = 4.1610 Å, b = 4.1610 Å, c = 6.3858 Å
α = 70.99°, β = 70.99°, γ = 90.00°
Positions (direct):
Rh (0.2728, 0.2728, 0.4543)
B (0.2500, 0.7500, 0.5000)
B (0.7500, 0.2500, 0.5000)
Ba (0.0000, 0.0000, 0.0000)
Rh (0.7272, 0.7272, 0.5457)

Results
Spin magnetization ... 0.00 μB/f.u.
D(E_F) ... 1.95 states/eV/cell
Energy ... -6.181 eV/atom
Space-group type ... I4/mmm (139)

Ba2SrBRh: optimized geometry, PBE.

a = 6.4130 Å, b = 4.5498 Å, c = 6.4130 Å
α = 90.00°, β = 90.00°, γ = 90.00°
Each line ends with the local moment (μB).
Positions (direct):
B (0.0000, 0.5000, 0.0000)  0.01
Ba (0.0000, 0.0000, 0.5000)  0.07
Sr (0.0000, 0.0000, 0.0000)  0.08
Ba (0.5000, 0.0000, 0.0000)  0.02
Rh (0.5000, 0.5000, 0.5000)  0.80

Results
Spin magnetization ... 1.27 μB/f.u.
D(E_F) ... 7.41 states/eV/cell
Energy ... -2.411 eV/atom
Space-group type ... P4/mmm (123)

Ba2BTeRh: optimized geometry, PBE.

a = 5.9975 Å, b = 4.9892 Å, c = 5.9975 Å
α = 90.00°, β = 90.00°, γ = 90.00°
Each line ends with the local moment (μB).
Positions (direct):
Rh (0.0000, 0.0000, 0.0000)  -0.16
Ba (0.5000, 0.0000, 0.0000)  0.04
B (0.5000, 0.5000, 0.5000)  0.43
Ba (0.0000, 0.0000, 0.5000)  0.05
Te (0.0000, 0.5000, 0.0000)  -0.07

Results
Spin magnetization ... 1.28 μB/f.u.
D(E_F) ... 4.13 states/eV/cell
Energy ... -3.896 eV/atom
Space-group type ... P4/mmm (123)

BaB4Ru4: optimized geometry, PBE.

a = 3.9966 Å, b = 7.7487 Å, c = 7.7487 Å
α = 90.00°, β = 90.00°, γ = 90.00°
Positions (direct):
Ru (0.1077, 0.1449, 0.6060)
Ru (0.3923, 0.6449, 0.1060)
B (0.6079, 0.1676, 0.7114)
Ba (0.0000, 0.0000, 0.0000)
Ru (0.3923, 0.3551, 0.8940)
B (0.1079, 0.2114, 0.3324)
B (0.3921, 0.2886, 0.1676)
B (0.8921, 0.6676, 0.2114)
B (0.8921, 0.3324, 0.7886)
Ru (0.8923, 0.6060, 0.8551)
B (0.1079, 0.7886, 0.6676)
Ru (0.6077, 0.8940, 0.6449)
Ba (0.5000, 0.5000, 0.5000)
B (0.3921, 0.7114, 0.8324)
B (0.6079, 0.8324, 0.2886)
Ru (0.1077, 0.8551, 0.3940)
Ru (0.8923, 0.3940, 0.1449)
Ru (0.6077, 0.1060, 0.3551)

Results
Spin magnetization ... 0.00 μB/f.u.
D(E_F) ... 13.38 states/eV/cell
Energy ... -7.539 eV/atom
Space-group type ... P4_2/n (86)